9
Lattice="-4.2613 -0.8214 -2.0371 -3.1498 -5.9741 3.3567 -5.2443 3.9113 3.7520" Properties=species:S:1:pos:R:3 comment="Tl8Cd, optimized geometry, DFT PBEsol" total_energy_ev_per_cell=-21.94 dos_ef_per_ev_cell=4.84 e_form_ev_per_atom=0.03 pbc="T T T"
Cd 0.0000 0.0000 0.0000
Tl -3.1470 1.0001 0.5387
Tl -6.3586 2.0898 1.1762
Tl -5.6240 -1.2308 0.9785
Tl -2.4633 -2.2267 0.4096
Tl -4.5537 0.6519 3.6216
Tl -4.9478 -4.5688 0.9100
Tl -7.0314 -1.6535 4.0931
Tl -3.8404 -2.7147 3.4870



4
Lattice="4.4559 0.0000 0.0000 2.2280 3.8590 0.0000 2.2280 1.2863 3.6383" Properties=species:S:1:pos:R:3 comment="Si3Cl, optimized geometry, DFT PBEsol" total_energy_ev_per_cell=-17.63 e_form_raw_mev_per_atom=404.6 dos_ef_per_ev_cell=1.69 de_polymorph_mev_per_atom=0.0 pbc="T T T"
Si 6.6839 3.8590 2.7287
Si 4.4559 2.5726 1.8191
Si 2.2280 1.2863 0.9096
Cl 0.0000 0.0000 0.0000



4
Lattice="-0.1427 0.5103 2.8441 -2.6506 -3.2214 0.4449 3.2454 -2.5838 0.6264" Properties=species:S:1:pos:R:3 comment="Al2NiIr, optimized geometry, DFT PBEsol" total_energy_ev_per_cell=-27.26 dos_ef_per_ev_cell=1.55 e_form_ev_per_atom=-0.77 pbc="T T T"
Ni 0.0000 0.0000 0.0000
Ir 0.2974 -2.9026 0.5357
Al -1.3967 -1.3556 1.6445
Al 1.5513 -1.0368 1.7353



4
Lattice="-1.6462 0.6714 2.5261 2.2000 -1.2560 1.7675 3.4822 6.7634 0.4716" Properties=species:S:1:pos:R:3 comment="CoHg2Cl, optimized geometry, DFT PBEsol" total_energy_ev_per_cell=-9.95 e_form_raw_mev_per_atom=231.6 dos_ef_per_ev_cell=6.18 de_polymorph_mev_per_atom=165.6 pbc="T T T"
Co 2.0180 3.0894 2.3826
Hg 2.4916 4.8392 0.3374
Hg 0.9907 1.9242 0.1342
Cl 0.2769 -0.2923 2.1468



5
Lattice="-2.6575 0.6388 -0.6406 0.1401 -1.6733 -2.2497 -1.2654 -5.5874 5.8287" Properties=species:S:1:pos:R:3 comment="Li2IrRu2, optimized geometry, DFT PBEsol" total_energy_ev_per_cell=-31.29 dos_ef_per_ev_cell=4.44 e_form_ev_per_atom=0.56 pbc="T T T"
Ru -1.9677 -4.7591 3.4173
Ru -1.8151 -1.8629 -0.4789
Ir 0.0000 0.0000 0.0000
Li -1.1920 -3.8890 1.0669
Li -2.5908 -2.7330 1.8715



14
Lattice="5.4511 0.0000 0.0000 -2.7255 4.7208 0.0000 0.0000 0.0000 6.6780" Properties=species:S:1:pos:R:3 comment="Na2W3O9, optimized geometry, DFT PBEsol" total_energy_ev_per_cell=-121.88 e_form_raw_mev_per_atom=-2172.6 dos_ef_per_ev_cell=2.34 pbc="T T T"
Na 0.0000 3.1472 4.4898
Na 2.7255 1.5736 2.1882
W 0.0000 0.0000 3.3390
W 0.0000 3.1472 1.0950
W 2.7255 1.5736 5.5831
O 0.0000 1.5875 2.2457
O 2.7255 0.0000 0.0000
O 2.7255 3.1332 4.4323
O 1.3748 0.7938 4.4323
O 1.3507 3.9270 2.2457
O -1.3628 2.3604 0.0000
O -1.3507 3.9270 2.2457
O 1.3628 2.3604 0.0000
O 4.0762 0.7938 4.4323